(1)
The following is a SCAN calculation of a crystal of Hg3Rh relaxed with PBEsol, from the Alexandria database.

## Properties
- Density: 15.1 g/cm³
- SG: P4/mmm
- Calculated volume: 77.40 Å³ per cell
- Calculated formation energy: 185 meV per atom

Lattice parameters (Å, degrees): 3.040 3.040 8.378 90.00 90.00 90.00
Fractional coordinates of all 4 atoms:
Hg: 0.000 0.000 0.000
Hg: 0.500 0.500 0.288
Hg: 0.500 0.500 0.712
Rh: 0.000 0.000 0.500

=====

(2)
The following is a SCAN calculation of a crystal of Hg2Rh3 relaxed with PBEsol, from the Alexandria database.

## Properties
- Density: 14.8 g/cm³
- SG: R-3m
- Calculated volume: 79.58 Å³ per cell
- Calculated formation energy: 257 meV per atom

Lattice parameters (Å, degrees): 11.257 11.257 11.257 14.66 14.66 14.66
Fractional coordinates of all 5 atoms:
Hg: 0.099 0.099 0.099
Hg: 0.901 0.901 0.901
Rh: 0.304 0.304 0.304
Rh: 0.500 0.500 0.500
Rh: 0.696 0.696 0.696